# 1
# AcLa4Sm2Tm | the Alexandria database | GGA-PBE | relaxed
# Energy of formation from the pure elements in eV per atom: 0.031
data_AcLa4Sm2Tm
_chemical_formula_sum 'Ac1 La4 Sm2 Tm1'
_symmetry_space_group_name_H-M 'P 1'
_symmetry_Int_Tables_number 1
_cell_length_a 5.259
_cell_length_b 6.408
_cell_length_c 9.852
_cell_angle_alpha 89.40
_cell_angle_beta 74.52
_cell_angle_gamma 65.77
loop_
_symmetry_equiv_pos_as_xyz
'x,y,z'
loop_
_atom_site_label
_atom_site_type_symbol
_atom_site_fract_x
_atom_site_fract_y
_atom_site_fract_z
Ac1 Ac 0.500 0.500 0.500
La1 La 0.373 0.375 0.878
La2 La 0.878 0.876 0.368
La3 La 0.627 0.625 0.122
La4 La 0.122 0.124 0.632
Sm1 Sm 0.258 0.241 0.244
Sm2 Sm 0.742 0.759 0.756
Tm1 Tm 0.000 0.000 0.000

# 2
# CaTaIr4 | the Alexandria database | GGA-PBE | relaxed
# Energy of formation from the pure elements in eV per atom: -0.244
data_CaTaIr4
_chemical_formula_sum 'Ca1 Ta1 Ir4'
_symmetry_space_group_name_H-M 'P 1'
_symmetry_Int_Tables_number 1
_cell_length_a 5.250
_cell_length_b 5.250
_cell_length_c 5.250
_cell_angle_alpha 60.00
_cell_angle_beta 60.00
_cell_angle_gamma 60.00
loop_
_symmetry_equiv_pos_as_xyz
'x,y,z'
loop_
_atom_site_label
_atom_site_type_symbol
_atom_site_fract_x
_atom_site_fract_y
_atom_site_fract_z
Ir1 Ir 0.876 0.375 0.375
Ir2 Ir 0.375 0.375 0.375
Ir3 Ir 0.375 0.375 0.876
Ir4 Ir 0.375 0.876 0.375
Ca1 Ca 0.000 0.000 0.000
Ta1 Ta 0.750 0.750 0.750

# 3
# Er2MnPt9 | the Alexandria database | GGA-PBE | relaxed
# Energy of formation from the pure elements in eV per atom: -0.815
data_Er2MnPt9
_chemical_formula_sum 'Er2 Mn1 Pt9'
_symmetry_space_group_name_H-M 'P 1'
_symmetry_Int_Tables_number 1
_cell_length_a 4.055
_cell_length_b 4.055
_cell_length_c 12.095
_cell_angle_alpha 90.00
_cell_angle_beta 90.00
_cell_angle_gamma 90.00
loop_
_symmetry_equiv_pos_as_xyz
'x,y,z'
loop_
_atom_site_label
_atom_site_type_symbol
_atom_site_fract_x
_atom_site_fract_y
_atom_site_fract_z
Pt1 Pt 0.500 0.500 0.672
Pt2 Pt 0.500 0.000 0.500
Pt3 Pt 0.500 0.000 0.156
Pt4 Pt 0.000 0.500 0.156
Pt5 Pt 0.000 0.500 0.500
Pt6 Pt 0.500 0.500 0.000
Pt7 Pt 0.500 0.000 0.844
Pt8 Pt 0.000 0.500 0.844
Pt9 Pt 0.500 0.500 0.328
Mn1 Mn 0.000 0.000 0.000
Er1 Er 0.000 0.000 0.329
Er2 Er 0.000 0.000 0.671

# 4
# Pr7Ho4Sc | the Alexandria database | GGA-PBE | relaxed
# Energy of formation from the pure elements in eV per atom: 0.211
data_Pr7Ho4Sc
_chemical_formula_sum 'Pr7 Ho4 Sc1'
_symmetry_space_group_name_H-M 'P 1'
_symmetry_Int_Tables_number 1
_cell_length_a 5.962
_cell_length_b 9.805
_cell_length_c 8.668
_cell_angle_alpha 61.20
_cell_angle_beta 69.88
_cell_angle_gamma 72.30
loop_
_symmetry_equiv_pos_as_xyz
'x,y,z'
loop_
_atom_site_label
_atom_site_type_symbol
_atom_site_fract_x
_atom_site_fract_y
_atom_site_fract_z
Sc1 Sc 0.000 0.000 0.000
Pr1 Pr 0.080 0.564 0.275
Pr2 Pr 0.203 0.779 0.815
Pr3 Pr 0.207 0.125 0.461
Pr4 Pr 0.793 0.875 0.539
Pr5 Pr 0.920 0.436 0.725
Pr6 Pr 0.500 0.000 0.000
Pr7 Pr 0.797 0.221 0.185
Ho1 Ho 0.427 0.695 0.451
Ho2 Ho 0.573 0.305 0.549
Ho3 Ho 0.674 0.603 0.048
Ho4 Ho 0.326 0.397 0.952

# 5
# Ba2FeS | the Alexandria database | GGA-PBE | relaxed
# ΔE_f (raw) in meV/atom: -199
data_Ba2FeS
_chemical_formula_sum 'Ba4 Fe2 S2'
_symmetry_space_group_name_H-M 'P 1'
_symmetry_Int_Tables_number 1
_cell_length_a 8.313
_cell_length_b 8.313
_cell_length_c 7.321
_cell_angle_alpha 55.40
_cell_angle_beta 55.40
_cell_angle_gamma 90.00
loop_
_symmetry_equiv_pos_as_xyz
'x,y,z'
loop_
_atom_site_label
_atom_site_type_symbol
_atom_site_fract_x
_atom_site_fract_y
_atom_site_fract_z
Ba1 Ba 0.605 0.125 0.250
Ba2 Ba 0.375 0.395 0.750
Ba3 Ba 0.875 0.855 0.750
Ba4 Ba 0.145 0.625 0.250
S1 S 0.500 0.500 0.000
S2 S 0.250 0.750 0.500
Fe1 Fe 0.750 0.250 0.500
Fe2 Fe 0.000 0.000 0.000

# 6
# ScOsCl2 | the Alexandria database | GGA-PBE | relaxed
# ΔE_f (raw) in meV/atom: -37
data_ScOsCl2
_chemical_formula_sum 'Sc1 Os1 Cl2'
_symmetry_space_group_name_H-M 'P 1'
_symmetry_Int_Tables_number 1
_cell_length_a 2.989
_cell_length_b 5.511
_cell_length_c 4.225
_cell_angle_alpha 90.00
_cell_angle_beta 90.00
_cell_angle_gamma 90.00
loop_
_symmetry_equiv_pos_as_xyz
'x,y,z'
loop_
_atom_site_label
_atom_site_type_symbol
_atom_site_fract_x
_atom_site_fract_y
_atom_site_fract_z
Sc1 Sc 0.000 0.500 0.500
Cl1 Cl 0.000 0.000 0.000
Cl2 Cl 0.500 0.500 0.000
Os1 Os 0.500 0.000 0.500